# GGA-PBEsol Cd2AgBiOs, relaxed
# Space-group type   No. 123
# Crystal system   tetragonal
# Energy of formation   1231 meV per atom
data_Cd2AgBiOs
_chemical_formula_sum 'Cd2 Ag1 Bi1 Os1'
_cell_length_a 4.9479
_cell_length_b 4.9479
_cell_length_c 4.9903
_cell_angle_alpha 90.00
_cell_angle_beta 90.00
_cell_angle_gamma 90.00
_symmetry_space_group_name_H-M 'P 1'
_symmetry_Int_Tables_number 1
_symmetry_space_group_name_Hall 'P 1'
loop_
_atom_site_label
_atom_site_type_symbol
_atom_site_fract_x
_atom_site_fract_y
_atom_site_fract_z
Cd1 Cd 0.0000 0.5000 0.0000
Cd2 Cd 0.5000 0.0000 0.0000
Ag1 Ag 0.0000 0.0000 0.0000
Bi1 Bi 0.5000 0.5000 0.5000
Os1 Os 0.0000 0.0000 0.5000